# NaHoPtPb PBE optimized geometry
# size of the total moment	0.000	μB per atom
# energy relative to the elements	-0.54	eV per atom
data_NaHoPtPb
_symmetry_space_group_name_H-M 'F -4 3 m'
_symmetry_Int_Tables_number 216
_symmetry_space_group_name_Hall 'F -4 2 3'
_cell_length_a 6.976
_cell_length_b 6.976
_cell_length_c 6.976
_cell_angle_alpha 90.00
_cell_angle_beta 90.00
_cell_angle_gamma 90.00
loop_
_atom_site_label
_atom_site_type_symbol
_atom_site_fract_x
_atom_site_fract_y
_atom_site_fract_z
Na1 Na 0.000 0.000 0.000
Ho1 Ho 0.250 0.250 0.250
Pt1 Pt 0.000 0.000 0.500
Pb1 Pb 0.250 0.250 0.750